# Na2MgCoF6 (PBE with a Hubbard U, optimized geometry)
# E: -95.54 eV per cell
# D(E_F): 0.00 states/eV/f.u.
# size of the total moment: 2.02 μB per cell
data_Na2MgCoF6
_cell_length_a 5.418
_cell_length_b 5.568
_cell_length_c 9.495
_cell_angle_alpha 90.00
_cell_angle_beta 124.48
_cell_angle_gamma 90.00
_space_group_name_H-M_alt 'P 1 21/c 1'
_space_group_IT_number 14
_space_group_name_Hall '-P 2ybc'
loop_
_atom_site_label
_atom_site_type_symbol
_atom_site_fract_x
_atom_site_fract_y
_atom_site_fract_z
_atom_site_occupancy
Na1 Na 0.235 0.050 0.249 1
Mg1 Mg 0.500 0.000 0.000 1
Co1 Co 0.000 0.000 0.500 1
F1 F 0.150 0.206 0.950 1
F2 F 0.249 0.707 0.946 1
F3 F 0.353 0.035 0.754 1